1.
The following is a GGA-PBE calculation of a relaxed structure of CsCdAuF6, from the Alexandria database.

Lattice parameters (Å, degrees): 5.839 5.949 6.349 91.97 92.71 112.66
Element x y z (fractional)
Cs1 0.000 0.000 0.000
Cd1 0.323 0.685 0.504
Au1 0.677 0.326 0.501
F1 0.054 0.614 0.252
F2 0.373 0.325 0.351
F3 0.405 0.945 0.759
F4 0.649 0.020 0.347
F5 0.684 0.626 0.650
F6 0.990 0.352 0.656

Values from the calculation:
**Formation energy without anion corrections**: -1.8213 eV/atom



2.
The following is a GGA-PBE calculation of a relaxed structure of CsCdGa2Au, from the Alexandria database.

Lattice parameters (Å, degrees): 5.053 5.053 6.932 90.00 90.00 90.00
Element x y z (fractional)
Cs1 0.000 0.000 0.000
Cd1 0.500 0.500 0.000
Ga1 0.000 0.500 0.500
Ga2 0.500 0.000 0.500
Au1 0.000 0.000 0.500



Total energy, record by record: -3.630, -2.096 eV/atom